First-principles (PBE) data for a relaxed PrHoTm5 crystal, as listed in the Alexandria database.

Cell: 6.6858 6.6858 12.0809 Å, 106.35 106.35 60.67°
Element x y z (fractional)
Pr 0.0000 0.5000 0.0000
Pr 0.5000 0.0000 0.5000
Ho 0.0286 0.9714 0.7500
Ho 0.9714 0.0286 0.2500
Tm 0.1332 0.4204 0.7457
Tm 0.2016 0.6480 0.5019
Tm 0.3520 0.7984 0.9981
Tm 0.4169 0.5831 0.2500
Tm 0.4204 0.1332 0.2457
Tm 0.5796 0.8668 0.7543
Tm 0.5831 0.4169 0.7500
Tm 0.6480 0.2016 0.0019
Tm 0.7984 0.3520 0.4981
Tm 0.8668 0.5796 0.2543

Properties
Energy above the lowest structure with this stoichiometry = 0 meV per atom
Calculated formation energy = 0.201 eV per atom
Total magnetization = 0.0 μB/f.u.
V = 445 Å³/cell